TeRhW | meta-GGA SCAN | PBEsol geometry

Output
space group = F-43m (216)
polymorph energy (0 for the lowest one) = 13 meV per atom
N(E_F) = 2.73 states/eV/cell
E_form (uncorrected) = 421.6 meV per atom

Cell: 4.3544 4.3544 4.3544 Å, 60.00 60.00 60.00°
Atoms (fractional coordinates):
Rh 0.0000 0.0000 0.0000
Te 0.5000 0.5000 0.5000
W 0.7500 0.7500 0.7500